(1)
## ZrTaP2 (PBE-GGA)

Data for a geometry-optimized ZrTaP2 structure.

Summary:
Offset from the most stable computed form, eV/f.u.: 0.665

a = 3.582 Å, b = 3.582 Å, c = 5.387 Å
α = 90.00°, β = 90.00°, γ = 90.00°
Element x y z (fractional)
Ta  0.000  0.000  0.432
P  0.500  0.500  0.329
P  0.000  0.000  0.921
Zr  0.500  0.500  0.818



(2)
## ZrTa2P (PBE-GGA)

Data for a geometry-optimized ZrTa2P structure.

a = 5.504 Å, b = 5.504 Å, c = 5.504 Å
α = 138.85°, β = 138.85°, γ = 59.60°
Element x y z (fractional)
Ta  0.250  0.750  0.500
Ta  0.750  0.250  0.500
P  0.000  0.000  0.000
Zr  0.500  0.500  0.000



(3)
## ZrTaP2 (PBE-GGA)

Data for a geometry-optimized ZrTaP2 structure.

Summary:
Offset from the most stable computed form, eV/f.u.: 3.388

a = 3.036 Å, b = 3.036 Å, c = 8.945 Å
α = 90.00°, β = 90.00°, γ = 105.58°
Element x y z (fractional)
Ta  0.000  0.000  0.485
P  0.000  0.000  0.956
P  0.500  0.500  0.301
Zr  0.500  0.500  0.757



(4)
## ZrTa2P (PBE-GGA)

Data for a geometry-optimized ZrTa2P structure.

a = 3.034 Å, b = 3.034 Å, c = 8.246 Å
α = 90.00°, β = 90.00°, γ = 108.21°
Element x y z (fractional)
Ta  0.000  0.000  0.027
Ta  0.500  0.500  0.761
Zr  0.000  0.000  0.471
P  0.500  0.500  0.241



(5)
## ZrTaP3 (PBE-GGA)

Data for a geometry-optimized ZrTaP3 structure.

Summary:
Offset from the most stable computed form, eV/f.u.: 3.830

a = 4.882 Å, b = 4.882 Å, c = 4.882 Å
α = 90.00°, β = 90.00°, γ = 90.00°
Last column: magnetic moment on the atom in μB.
Element x y z (fractional)
Ta  0.500  0.500  0.500  -1.54
P  0.000  0.500  0.000  0.03
P  0.000  0.000  0.500  0.09
P  0.500  0.000  0.000  0.02
Zr  0.000  0.000  0.000  0.01



(6)
## ZrTa2P (PBE-GGA)

Data for a geometry-optimized ZrTa2P structure.

a = 3.546 Å, b = 5.291 Å, c = 7.983 Å
α = 90.00°, β = 90.00°, γ = 109.56°
Element x y z (fractional)
Ta  0.648  0.295  0.446
Ta  0.648  0.295  0.054
Ta  0.352  0.705  0.946
Ta  0.352  0.705  0.554
P  0.755  0.511  0.750
P  0.245  0.489  0.250
Zr  0.043  0.086  0.750
Zr  0.957  0.914  0.250



(7)
## ZrTa2P (PBE-GGA)

Data for a geometry-optimized ZrTa2P structure.

a = 8.188 Å, b = 8.188 Å, c = 8.188 Å
α = 23.28°, β = 23.28°, γ = 23.28°
Element x y z (fractional)
Zr  0.512  0.512  0.512
Ta  0.987  0.987  0.987
Ta  0.747  0.747  0.747
P  0.254  0.254  0.254



(8)
## ZrTa2P (PBE-GGA)

Data for a geometry-optimized ZrTa2P structure.

a = 3.897 Å, b = 3.897 Å, c = 10.349 Å
α = 79.15°, β = 79.15°, γ = 90.00°
Element x y z (fractional)
Ta  0.375  0.385  0.750
Ta  0.875  0.865  0.750
Ta  0.135  0.625  0.250
Ta  0.615  0.125  0.250
P  0.500  0.500  0.000
P  0.250  0.750  0.500
Zr  0.750  0.250  0.500
Zr  0.000  0.000  0.000



(9)
## ZrTa4P (PBE-GGA)

Data for a geometry-optimized ZrTa4P structure.

a = 5.503 Å, b = 5.503 Å, c = 5.503 Å
α = 60.00°, β = 60.00°, γ = 60.00°
Element x y z (fractional)
Ta  0.377  0.377  0.377
Ta  0.377  0.377  0.870
Ta  0.870  0.377  0.377
Ta  0.377  0.870  0.377
Zr  0.750  0.750  0.750
P  0.000  0.000  0.000



(10)
## ZrTa2P (PBE-GGA)

Data for a geometry-optimized ZrTa2P structure.

a = 5.000 Å, b = 5.000 Å, c = 4.761 Å
α = 75.69°, β = 75.69°, γ = 38.24°
Element x y z (fractional)
P  0.500  0.500  0.000
Zr  0.000  0.000  0.500
Ta  0.773  0.773  0.219
Ta  0.227  0.227  0.781



(11)
## ZrTa2P (PBE-GGA)

Data for a geometry-optimized ZrTa2P structure.

a = 3.929 Å, b = 3.929 Å, c = 4.557 Å
α = 90.00°, β = 90.00°, γ = 90.00°
Element x y z (fractional)
P  0.500  0.500  0.500
Ta  0.000  0.500  0.000
Ta  0.500  0.000  0.000
Zr  0.000  0.000  0.500



(12)
## ZrTa2P (PBE-GGA)

Data for a geometry-optimized ZrTa2P structure.

a = 8.207 Å, b = 8.207 Å, c = 8.207 Å
α = 23.24°, β = 23.24°, γ = 23.24°
Element x y z (fractional)
Ta  0.733  0.733  0.733
Ta  0.267  0.267  0.267
P  0.000  0.000  0.000
Zr  0.500  0.500  0.500



The evaluated formation enthalpy at 0 K for the records listed, in turn: -0.85 -0.13 -0.17 -0.33 1.00 -0.73 -0.30 0.07 0.42 -0.27 -0.22 -0.24 eV/atom.
The evaluated theoretical density for the records listed, in turn: 8.0 11.2 7.0 11.1 5.2 11.4 10.7 10.6 11.9 11.3 11.4 10.6 Mg/m³.